# Pr2Dy6Ho3Th | Alexandria via LeMat-Bulk | GGA-PBE | relaxed
# - Size of the total moment: 0.0 μB per formula unit
# - Formation enthalpy at 0 K: 0.033 eV per atom
# - Symmetry: No. 12
# - ρ: 8.525 g/cm³
data_Pr2Dy6Ho3Th
_cell_length_a 6.194
_cell_length_b 6.194
_cell_length_c 11.804
_cell_angle_alpha 95.02
_cell_angle_beta 95.02
_cell_angle_gamma 119.94
_symmetry_space_group_name_H-M 'P 1'
_symmetry_Int_Tables_number 1
_symmetry_space_group_name_Hall 'P 1'
loop_
_atom_site_label
_atom_site_type_symbol
_atom_site_fract_x
_atom_site_fract_y
_atom_site_fract_z
Dy1 Dy 0.244 0.244 0.748
Dy2 Dy 0.414 0.085 0.252
Dy3 Dy 0.915 0.586 0.748
Dy4 Dy 0.756 0.756 0.252
Dy5 Dy 0.586 0.915 0.748
Dy6 Dy 0.085 0.414 0.252
Ho1 Ho 0.167 0.833 0.500
Ho2 Ho 0.500 0.500 0.500
Ho3 Ho 0.833 0.167 0.500
Th1 Th 0.000 0.000 0.000
Pr1 Pr 0.667 0.333 0.000
Pr2 Pr 0.333 0.667 0.000